Record 1
Compound: As3AuN
Source: Alexandria
Functional: PBE
Structure: relaxed

It has space group Pm-3m (No. 221), with a = 4.3745 Å, b = 4.3745 Å, c = 4.3745 Å, α = 90.00°, β = 90.00° and γ = 90.00°. The inequivalent atoms are As at (0.0000, 0.0000, 0.5000), Au at (0.5000, 0.5000, 0.5000) and N at (0.0000, 0.0000, 0.0000).

The raw formation energy is 0.7378 eV per atom. The energy relative to the lowest polymorph listed for this composition comes out at 0.0 meV/atom. The crystal system is cubic.

Record 2
Compound: Tl2InSe
Source: Alexandria
Functional: PBE
Structure: relaxed

It has space group I-4m2 (No. 119), with a = 4.7148 Å, b = 4.7148 Å, c = 10.3556 Å, α = 90.00°, β = 90.00° and γ = 90.00°. The inequivalent atoms are Tl at (0.0000, 0.0000, 0.0000), Tl at (0.0000, 0.5000, 0.2500), In at (0.0000, 0.5000, 0.7500) and Se at (0.0000, 0.0000, 0.5000).

The raw formation energy is -0.1509 eV per atom. The energy relative to the lowest polymorph listed for this composition comes out at 77.3 meV/atom. The crystal system is tetragonal.

Record 3
Compound: MnCoPb2
Source: Alexandria
Functional: PBE
Structure: relaxed

It has space group Pm (No. 6), with a = 3.7836 Å, b = 4.0912 Å, c = 5.5126 Å, α = 90.00°, β = 110.06° and γ = 90.00°. The inequivalent atoms are Mn at (0.0000, 0.0000, 0.0000), Co at (0.8694, 0.5000, 0.7329), Pb at (0.2891, 0.0000, 0.5709) and Pb at (0.5777, 0.5000, 0.1563).

The value obtained for the formation enthalpy at 0 K is 372.8 meV/atom. The energy relative to the lowest polymorph listed for this composition comes out at 109.7 meV/atom. The crystal system is monoclinic.

Record 4
Compound: SrCuPb2
Source: Alexandria
Functional: PBE
Structure: relaxed

It has space group Fm-3m (No. 225), with a = 7.6097 Å, b = 7.6097 Å, c = 7.6097 Å, α = 90.00°, β = 90.00° and γ = 90.00°. The inequivalent atoms are Sr at (0.0000, 0.0000, 0.0000), Cu at (0.0000, 0.0000, 0.5000) and Pb at (0.2500, 0.2500, 0.2500).

The value obtained for the formation enthalpy at 0 K is -10.2 meV/atom. The crystal system is cubic.

Record 5
Compound: Ce2Tm2Co3
Source: Alexandria
Functional: PBE
Structure: relaxed

It has space group P-1 (No. 2), with a = 3.9538 Å, b = 5.6153 Å, c = 6.8500 Å, α = 87.00°, β = 78.74° and γ = 70.92°. The inequivalent atoms are Ce at (0.1602, 0.1914, 0.4061), Tm at (0.3978, 0.2898, 0.8788), Co at (0.1524, 0.8421, 0.8398) and Co at (0.5000, 0.5000, 0.5000).

The value obtained for the formation enthalpy at 0 K is -236.2 meV/atom. The energy relative to the lowest polymorph listed for this composition comes out at 0.0 meV/atom. The crystal system is triclinic.

Record 6
Compound: CeMgB
Source: Alexandria
Functional: PBE
Structure: relaxed

It has space group C2/m (No. 12), with a = 9.0273 Å, b = 4.6661 Å, c = 6.0680 Å, α = 90.00°, β = 111.07° and γ = 90.00°. The inequivalent atoms are Ce at (0.0895, 0.0000, 0.3439), Mg at (0.1591, 0.5000, 0.9821) and B at (0.0966, 0.5000, 0.5530).

The value obtained for the formation enthalpy at 0 K is 46.1 meV/atom. The crystal system is monoclinic.

Number 1: DOS(E_F) 0.74 states/eV/atom, energy -4.372 eV per atom. Number 2: DOS(E_F) 0.28 states/eV/atom, energy -2.890 eV per atom. Number 3: DOS(E_F) 0.78 states/eV/atom, energy -5.550 eV per atom. Number 4: DOS(E_F) 0.44 states/eV/atom, energy -3.309 eV per atom. Number 5: DOS(E_F) 0.85 states/eV/atom, energy -6.255 eV per atom. Number 6: DOS(E_F) 1.21 states/eV/atom, energy -4.689 eV per atom.